# Pm5CoSn4 (PBE, relaxed)
data_Pm5CoSn4
_symmetry_space_group_name_H-M 'I 4'
_symmetry_Int_Tables_number 79
_symmetry_space_group_name_Hall 'I 4'
_cell_length_a 9.7510
_cell_length_b 9.7510
_cell_length_c 6.1325
_cell_angle_alpha 90.00
_cell_angle_beta 90.00
_cell_angle_gamma 90.00
loop_
_atom_site_label
_atom_site_type_symbol
_atom_site_fract_x
_atom_site_fract_y
_atom_site_fract_z
Pm1 Pm 0.0000 0.0000 0.0000
Pm2 Pm 0.1178 0.2403 0.5007
Co1 Co 0.0000 0.0000 0.4996
Sn1 Sn 0.0618 0.3439 0.0008
# **E**: -101.18 eV/cell
# **Calculated formation energy**: -0.372 eV/atom
# **Calculated volume**: 583.1 Å³ per cell
# **Crystal system**: tetragonal